Here is a relaxed LaPr7Hg2 crystal from the Alexandria database. Energies are from PBE-GGA.

Unit cell a=9.185 b=9.185 c=5.548 alpha=90.00 beta=90.00 gamma=119.00
Fractional positions:
1 La 0.000 0.000 0.000
2 Pr 0.060 0.304 0.500
3 Pr 0.237 0.763 0.000
4 Pr 0.304 0.060 0.500
5 Pr 0.500 0.500 0.500
6 Pr 0.696 0.940 0.500
7 Pr 0.763 0.237 0.000
8 Pr 0.940 0.696 0.500
9 Hg 0.305 0.695 0.500
10 Hg 0.695 0.305 0.500

Values from the calculation:
calculated total energy = -3.664 eV/atom
ΔE_f = 2.35 eV/f.u.
space-group type = Cmmm, No. 65
total magnetization = 0.0 μB per formula unit

Here is a relaxed La2Pr6Hg crystal from the Alexandria database. Energies are from PBE-GGA.

Unit cell a=10.225 b=10.225 c=3.631 alpha=92.35 beta=92.35 gamma=57.67
Fractional positions:
1 La 0.171 0.171 0.457
2 La 0.829 0.829 0.543
3 Pr 0.164 0.508 0.999
4 Pr 0.213 0.787 0.500
5 Pr 0.492 0.836 0.001
6 Pr 0.508 0.164 0.999
7 Pr 0.787 0.213 0.500
8 Pr 0.836 0.492 0.001
9 Hg 0.500 0.500 0.000

Values from the calculation:
calculated total energy = -4.283 eV/atom
ΔE to the lowest computed polymorph = 117.5 meV per atom
ΔE_f = 0.28 eV/f.u.
space-group type = C2/m, No. 12
total magnetization = 0.0 μB per formula unit

Here is a relaxed La2Pr6Hg crystal from the Alexandria database. Energies are from PBE-GGA.

Unit cell a=9.785 b=9.785 c=3.826 alpha=90.00 beta=90.00 gamma=120.00
Fractional positions:
1 La 0.333 0.667 0.000
2 La 0.667 0.333 0.000
3 Pr 0.000 0.378 0.500
4 Pr 0.000 0.734 0.000
5 Pr 0.266 0.266 0.000
6 Pr 0.378 0.000 0.500
7 Pr 0.622 0.622 0.500
8 Pr 0.734 0.000 0.000
9 Hg 0.000 0.000 0.500

Values from the calculation:
calculated total energy = -4.401 eV/atom
ΔE to the lowest computed polymorph = 0.0 meV per atom
ΔE_f = -0.77 eV/f.u.
space-group type = P-62m, No. 189
total magnetization = 0.0 μB per formula unit

Here is a relaxed LaPr4Hg4 crystal from the Alexandria database. Energies are from PBE-GGA.

Unit cell a=9.778 b=9.778 c=5.817 alpha=90.00 beta=90.00 gamma=90.00
Fractional positions:
1 La 0.250 0.250 0.250
2 La 0.750 0.750 0.750
3 Pr 0.094 0.839 0.652
4 Pr 0.161 0.594 0.152
5 Pr 0.339 0.906 0.152
6 Pr 0.406 0.661 0.652
7 Pr 0.594 0.339 0.348
8 Pr 0.661 0.094 0.848
9 Pr 0.839 0.406 0.848
10 Pr 0.906 0.161 0.348
11 Hg 0.045 0.146 0.847
12 Hg 0.146 0.455 0.653
13 Hg 0.354 0.045 0.653
14 Hg 0.455 0.354 0.847
15 Hg 0.545 0.646 0.153
16 Hg 0.646 0.955 0.347
17 Hg 0.854 0.545 0.347
18 Hg 0.955 0.854 0.153

Values from the calculation:
calculated total energy = -3.077 eV/atom
ΔE_f = -2.44 eV/f.u.
space-group type = P4_2/n, No. 86
total magnetization = 0.0 μB per formula unit

Here is a relaxed LaPr2Hg8 crystal from the Alexandria database. Energies are from PBE-GGA.

Unit cell a=8.901 b=8.901 c=8.901 alpha=145.21 beta=131.20 gamma=61.32
Fractional positions:
1 La 0.000 0.000 0.000
2 Pr 0.312 0.312 0.000
3 Pr 0.688 0.688 0.000
4 Hg 0.133 0.848 0.285
5 Hg 0.158 0.658 0.500
6 Hg 0.288 0.500 0.788
7 Hg 0.437 0.152 0.285
8 Hg 0.563 0.848 0.715
9 Hg 0.712 0.500 0.212
10 Hg 0.842 0.342 0.500
11 Hg 0.867 0.152 0.715

Values from the calculation:
calculated total energy = -1.904 eV/atom
ΔE_f = -4.04 eV/f.u.
space-group type = Immm, No. 71
total magnetization = 0.0 μB per formula unit

Here is a relaxed La4PrHg3 crystal from the Alexandria database. Energies are from PBE-GGA.

Unit cell a=3.786 b=5.675 c=11.564 alpha=90.00 beta=90.00 gamma=90.00
Fractional positions:
1 La 0.000 0.000 0.000
2 La 0.000 0.000 0.500
3 La 0.000 0.500 0.234
4 La 0.000 0.500 0.766
5 Pr 0.500 0.500 0.500
6 Hg 0.500 0.000 0.259
7 Hg 0.500 0.000 0.741
8 Hg 0.500 0.500 0.000

Values from the calculation:
calculated total energy = -3.506 eV/atom
ΔE_f = -2.65 eV/f.u.
space-group type = Pmmm, No. 47
total magnetization = 0.7 μB per formula unit